Here is a relaxed NaSi2Te6Pb crystal from Alexandria. Energies are from PBE.

a = 7.4852 Å, b = 9.8729 Å, c = 9.8729 Å
α = 82.96°, β = 76.87°, γ = 76.87°
Last column: nearest neighbours and their distance in Å.
Sites, in units of the cell vectors:
Na1 0.2500 0.3429 0.6571  6 Te 3.18-3.53
Na2 0.7500 0.6571 0.3429  6 Te 3.18-3.53
Si1 0.2788 0.7989 0.6340  4 Te 2.52-2.60
Si2 0.2212 0.3660 0.2011  4 Te 2.52-2.60
Si3 0.7212 0.2011 0.3660  4 Te 2.52-2.60
Si4 0.7788 0.6340 0.7989  4 Te 2.52-2.60
Te1 0.1798 0.9687 0.8208  1 Si 2.52
Te2 0.3202 0.1792 0.0313  1 Si 2.52
Te3 0.8202 0.0313 0.1792  1 Si 2.52
Te4 0.6798 0.8208 0.9687  1 Si 2.52
Te5 0.4086 0.9156 0.4003  1 Si 2.54
Te6 0.0914 0.5997 0.0844  1 Si 2.54
Te7 0.5914 0.0844 0.5997  1 Si 2.54
Te8 0.9086 0.4003 0.9156  1 Si 2.54
Te9 0.0259 0.6885 0.5788  2 Si 2.57-2.60
Te10 0.4741 0.4212 0.3115  2 Si 2.57-2.60
Te11 0.9741 0.3115 0.4212  2 Si 2.57-2.60
Te12 0.5259 0.5788 0.6885  2 Si 2.57-2.60
Pb1 0.2500 0.8614 0.1386  6 Te 3.22-3.31
Pb2 0.7500 0.1386 0.8614  6 Te 3.22-3.31

Summary:
Space-group type: C2/c, No. 15
Magnetization (μB/atom): 0.000
E_tot (eV per atom): -3.6554
Crystal system: monoclinic
Calculated density (g/cm³): 5.1
Formation energy (no corrections) (eV/atom): -0.183